No. 1
The following is a GGA+U calculation of VPdI2O after structural relaxation, from Alexandria.

Summary:
Total energy: -4.439 eV/atom
N(E_F): 3.86 states/eV/f.u.

Lattice parameters (Å, degrees): 5.6120 5.6120 3.6586 90.00 90.00 90.00
Space group P4/mmm (No. 123)
Asymmetric unit:
V1 0.0000 0.0000 0.0000 (multiplicity 1)
Pd1 0.5000 0.5000 0.5000 (multiplicity 1)
I1 0.0000 0.5000 0.0000 (multiplicity 2)
O1 0.0000 0.0000 0.5000 (multiplicity 1)



No. 2
The following is a GGA+U calculation of VPdI2O after structural relaxation, from Alexandria.

Summary:
Total energy: -3.631 eV/atom
N(E_F): 3.84 states/eV/f.u.

Lattice parameters (Å, degrees): 5.6267 5.6267 3.8852 90.00 90.00 90.00
Space group P4/mmm (No. 123)
Asymmetric unit:
V1 0.0000 0.0000 0.0000 (multiplicity 1)
Pd1 0.5000 0.5000 0.5000 (multiplicity 1)
I1 0.0000 0.5000 0.5000 (multiplicity 2)
O1 0.5000 0.5000 0.0000 (multiplicity 1)



No. 3
The following is a GGA+U calculation of PdWIO2 after structural relaxation, from Alexandria.

Summary:
Total energy: -4.130 eV/atom
N(E_F): 3.16 states/eV/f.u.

Lattice parameters (Å, degrees): 4.1733 4.1733 5.2220 90.00 90.00 90.00
Space group P4/mmm (No. 123)
Asymmetric unit:
Pd1 0.0000 0.0000 0.0000 (multiplicity 1)
W1 0.5000 0.5000 0.5000 (multiplicity 1)
I1 0.0000 0.0000 0.5000 (multiplicity 1)
O1 0.0000 0.5000 0.0000 (multiplicity 2)



No. 4
The following is a GGA+U calculation of PdWI2O after structural relaxation, from Alexandria.

Summary:
Total energy: -4.163 eV/atom
N(E_F): 3.57 states/eV/f.u.

Lattice parameters (Å, degrees): 5.8192 5.8192 3.8531 90.00 90.00 90.00
Space group P4/mmm (No. 123)
Asymmetric unit:
Pd1 0.0000 0.0000 0.0000 (multiplicity 1)
W1 0.5000 0.5000 0.5000 (multiplicity 1)
I1 0.0000 0.5000 0.5000 (multiplicity 2)
O1 0.5000 0.5000 0.0000 (multiplicity 1)



No. 5
The following is a GGA+U calculation of PdWIO2 after structural relaxation, from Alexandria.

Summary:
Total energy: -5.596 eV/atom
N(E_F): 2.63 states/eV/f.u.

Lattice parameters (Å, degrees): 3.8780 3.8780 7.4628 90.00 90.00 90.00
Space group P4/mmm (No. 123)
Asymmetric unit:
Pd1 0.0000 0.0000 0.0000 (multiplicity 1)
W1 0.5000 0.5000 0.5000 (multiplicity 1)
I1 0.5000 0.5000 0.0000 (multiplicity 1)
O1 0.0000 0.5000 0.5000 (multiplicity 2)



No. 6
The following is a GGA+U calculation of PdWI2O after structural relaxation, from Alexandria.

Summary:
Total energy: -3.503 eV/atom
N(E_F): 2.67 states/eV/f.u.

Lattice parameters (Å, degrees): 5.5989 5.5989 3.9059 90.00 90.00 90.00
Space group P4/mmm (No. 123)
Asymmetric unit:
Pd1 0.0000 0.0000 0.0000 (multiplicity 1)
W1 0.5000 0.5000 0.5000 (multiplicity 1)
I1 0.0000 0.5000 0.0000 (multiplicity 2)
O1 0.0000 0.0000 0.5000 (multiplicity 1)



> Which formula does entry 2 have?

VPdI2O